An optimized crystal structure of BeP2Se. Source: the Alexandria database, functional PBE.

Lattice parameters (Å, degrees): 2.8344 2.8344 8.4253 90.00 90.00 90.00
Space group P4mm (No. 99)
Symmetry-distinct sites (fractional):
1 Be 0.0000 0.0000 0.0000 [1 per cell]
2 P 0.0000 0.0000 0.3138 [1 per cell]
3 P 0.5000 0.5000 0.1366 [1 per cell]
4 Se 0.5000 0.5000 0.7441 [1 per cell]

Summary:
Raw total energy ... -3.956 eV per atom
E_form (uncorrected) ... 2.2 eV per formula unit